# 1
A plane-wave DFT calculation with PBE was carried out for crystalline YZn2W at its relaxed geometry.

The structure in extended XYZ format:
```
4
Lattice="-5.704 -6.197 -5.110 -6.441 -7.063 -2.380 -7.823 -4.764 -3.625" Properties=species:S:1:pos:R:3 pbc="T T T"
W -4.992 -4.506 -2.779
Y -14.977 -13.518 -8.336
Zn -19.818 -17.888 -11.031
Zn -10.136 -9.149 -5.642
```

Results
Mass density = 9.120 g cm⁻³
DOS at the Fermi energy = 4.60 states/eV per cell
Total moment = 0.3 μB/cell
Raw total energy = -5.101 eV per atom
ΔH_f (0 K) = 1.56 eV/f.u.


# 2
A plane-wave DFT calculation with PBE was carried out for crystalline YZnW3 at its relaxed geometry.

The structure in extended XYZ format:
```
5
Lattice="-1.779 1.537 4.047 -4.231 0.309 -1.977 -0.916 -4.410 1.272" Properties=species:S:1:pos:R:3 pbc="T T T"
Y -3.463 -1.282 1.671
Zn 0.000 0.000 0.000
W -2.115 0.154 -0.989
W -0.458 -2.205 0.636
W -0.890 0.768 2.023
```

Results
Mass density = 11.433 g cm⁻³
DOS at the Fermi energy = 5.67 states/eV per cell
Total moment = 0.0 μB/cell
Raw total energy = -7.748 eV per atom
ΔH_f (0 K) = 7.86 eV/f.u.


# 3
A plane-wave DFT calculation with PBE was carried out for crystalline YZn2W at its relaxed geometry.

The structure in extended XYZ format:
```
4
Lattice="4.293 0.000 0.000 0.000 4.294 0.000 0.000 0.000 3.949" Properties=species:S:1:pos:R:3 pbc="T T T"
W 2.146 0.000 1.975
Y 0.000 2.147 1.975
Zn 0.000 0.000 0.000
Zn 2.146 2.147 0.000
```

Results
Mass density = 9.206 g cm⁻³
DOS at the Fermi energy = 2.61 states/eV per cell
Total moment = 0.0 μB/cell
Raw total energy = -5.205 eV per atom
ΔH_f (0 K) = 1.14 eV/f.u.


| no. | energy above the lowest structure with this stoichiometry (eV per atom) |
| --- | --- |
| 1 | 0.253 |
| 2 | 0.000 |
| 3 | 0.148 |